1.
First-principles (GGA-PBE) data for a relaxed Pm6NdDy2 crystal, as listed in Alexandria.

Cell and atoms, written as POSCAR:
```
Pm6NdDy2
1.0
3.6126 0.3266 0.2353
-0.1614 6.1955 -6.3781
0.9333 0.7094 13.0031
Pm Nd Dy
6 1 2
Direct
0.8906 0.5550 0.2197
0.1094 0.4450 0.7803
0.6668 0.6662 0.6669
0.7784 0.1078 0.4424
0.2216 0.8922 0.5576
0.3332 0.3338 0.3331
0.0000 0.0000 0.0000
0.4444 0.7765 0.1106
0.5556 0.2235 0.8894
```

energy above the most stable polymorph in this dataset: 0.00 eV per formula unit
DOS at the Fermi energy: 13.67 states/eV/cell

2.
First-principles (GGA-PBE) data for a relaxed BeCu3Au6 crystal, as listed in Alexandria.

Cell and atoms, written as POSCAR:
```
BeCu3Au6
1.0
-4.6190 1.1202 -5.6443
-1.8725 -5.0013 0.5397
-5.5352 2.6149 5.0276
Be Cu Au
2 6 12
Direct
0.5000 0.5000 0.5000
0.0000 0.0000 0.0000
0.5124 0.7536 0.7402
0.5000 0.5000 0.0000
0.4876 0.2464 0.2598
0.0124 0.7464 0.2402
0.0000 0.0000 0.5000
0.9876 0.2536 0.7598
0.6795 0.0974 0.9306
0.6657 0.1172 0.5586
0.8551 0.2174 0.2393
0.1449 0.7826 0.7607
0.3343 0.8828 0.4414
0.3205 0.9026 0.0694
0.1795 0.4026 0.4306
0.1657 0.3828 0.0586
0.3551 0.2826 0.7393
0.6449 0.7174 0.2607
0.8343 0.6172 0.9414
0.8205 0.5974 0.5694
```

energy above the most stable polymorph in this dataset: 0.31 eV per formula unit
DOS at the Fermi energy: 4.33 states/eV/cell

3.
First-principles (GGA-PBE) data for a relaxed ZnIn4Br crystal, as listed in Alexandria.

Cell and atoms, written as POSCAR:
```
ZnIn4Br
1.0
0.0000 4.4415 4.4415
4.4415 0.0000 4.4415
4.4415 4.4415 0.0000
Zn In Br
1 4 1
Direct
0.7500 0.7500 0.7500
0.8739 0.3754 0.3754
0.3754 0.3754 0.8739
0.3754 0.8739 0.3754
0.3754 0.3754 0.3754
0.0000 0.0000 0.0000
```

E: -2.227 eV per atom
DOS at the Fermi energy: 2.37 states/eV/cell

4.
First-principles (GGA-PBE) data for a relaxed K3Pd5I12 crystal, as listed in Alexandria.

Cell and atoms, written as POSCAR:
```
K3Pd5I12
1.0
-12.3689 5.1023 8.2357
0.5990 -15.6875 0.6275
13.1829 5.9923 6.0954
K Pd I
12 20 48
Direct
0.7500 0.3750 0.1250
0.8750 0.7500 0.1250
0.3750 0.7500 0.6250
0.2500 0.1250 0.3750
0.8750 0.1250 0.2500
0.3750 0.6250 0.2500
0.6250 0.3750 0.7500
0.1250 0.8750 0.7500
0.7500 0.8750 0.6250
0.6250 0.2500 0.3750
0.1250 0.2500 0.8750
0.2500 0.6250 0.8750
0.1250 0.3750 0.2500
0.0000 0.5000 0.0000
0.0000 0.0000 0.0000
0.3750 0.2500 0.1250
0.5000 0.0000 0.5000
0.5000 0.5000 0.0000
0.1250 0.7500 0.3750
0.7500 0.1250 0.8750
0.7500 0.6250 0.3750
0.3750 0.1250 0.7500
0.6250 0.8750 0.2500
0.5000 0.5000 0.5000
0.5000 0.0000 0.0000
0.0000 0.0000 0.5000
0.2500 0.3750 0.6250
0.2500 0.8750 0.1250
0.0000 0.5000 0.5000
0.8750 0.2500 0.6250
0.6250 0.7500 0.8750
0.8750 0.6250 0.7500
0.6893 0.1118 0.0137
0.3244 0.5137 0.4019
0.9863 0.3882 0.3107
0.5137 0.1893 0.1118
0.5775 0.6893 0.6756
0.9863 0.5981 0.1756
0.3244 0.8107 0.4225
0.0981 0.9225 0.1118
0.5981 0.9863 0.6756
0.6893 0.5775 0.1756
0.8107 0.4863 0.3882
0.8244 0.9019 0.0137
0.1118 0.6893 0.5137
0.3882 0.4019 0.0775
0.0775 0.9019 0.3882
0.4225 0.1118 0.5981
0.0775 0.1756 0.1893
0.4863 0.6756 0.0981
0.8244 0.9225 0.3107
0.1118 0.4225 0.0981
0.3882 0.9863 0.8107
0.5981 0.6118 0.4225
0.9019 0.8244 0.5137
0.8107 0.3244 0.9225
0.4019 0.3882 0.5775
0.0981 0.1756 0.4863
0.1893 0.6756 0.0775
0.1756 0.0775 0.6893
0.6118 0.0137 0.1893
0.8882 0.5775 0.9019
0.5137 0.3244 0.9019
0.5775 0.8882 0.4019
0.9225 0.8244 0.8107
0.9225 0.0981 0.6118
0.8882 0.3107 0.4863
0.1756 0.0981 0.9863
0.6118 0.5981 0.9225
0.4019 0.0137 0.3244
0.3107 0.4225 0.8244
0.1893 0.5137 0.6118
0.9019 0.0775 0.8882
0.6756 0.1893 0.5775
0.4863 0.8107 0.8882
0.0137 0.4019 0.8244
0.4225 0.3107 0.3244
0.0137 0.6118 0.6893
0.6756 0.4863 0.5981
0.3107 0.8882 0.9863
```

E: -2.866 eV per atom
DOS at the Fermi energy: 60.78 states/eV/cell

Q: The highest DOS at the Fermi energy belongs to which entry?
A: K3Pd5I12

Q: The highest DOS at the Fermi energy belongs to which entry?
A: K3Pd5I12